No. 1
Density functional theory data (GGA-PBE) for a relaxed NaBiTePOs crystal.

Unit cell a=3.3206 b=6.0027 c=6.7517 alpha=75.54 beta=75.88 gamma=89.99
Last column: nearest neighbours and their distance in Å.
Atoms (fractional coordinates):
Na 0.9427 0.1950 0.1222  2 P 2.98, 2 Te 3.06-3.09, 2 Na 3.32
Bi 0.1839 0.0223 0.6358  2 Os 2.82, 2 P 3.09
Te 0.8896 0.6679 0.2288  2 Os 2.70
P 0.6296 0.4112 0.7448  1 Os 2.17
Os 0.5530 0.6908 0.8997  1 P 2.17

## Properties
- SG: P1
- M_tot: 0.00 μB/f.u.
- Formation energy (no corrections): 0.76 eV per formula unit

***

No. 2
Density functional theory data (GGA-PBE) for a relaxed ScAsPb2 crystal.

Unit cell a=3.7214 b=3.6266 c=8.2426 alpha=77.27 beta=90.00 gamma=90.00
Last column: nearest neighbours and their distance in Å.
Atoms (fractional coordinates):
As 0.5000 0.9792 0.6652  4 Sc 2.69
Pb 0.0000 0.8272 0.9742  2 As 3.10
Pb 0.5000 0.1717 0.2803  1 As 3.09
Sc 0.0000 0.5219 0.5804  4 As 2.69

## Properties
- SG: Pm
- M_tot: 0.00 μB/f.u.
- Energy of formation from the pure elements: -0.44 eV per atom